1.
Here is a geometry-optimized ScC2N structure from Alexandria via LeMat-Bulk. Energies are from PBE.

Cell lengths 4.9544, 4.9544, 4.5773 Å; angles 57.23, 57.23, 90.00 degrees
With the nearest neighbours (Å) after each atom.
Atoms (fractional coordinates):
1 N 0.2500 0.7500 0.5000  4 C 1.60
2 N 0.5000 0.5000 0.0000  4 C 1.60
3 Sc 0.0000 0.0000 0.0000  4 C 2.30
4 Sc 0.7500 0.2500 0.5000  4 C 2.30
5 C 0.5137 0.1250 0.2500  2 N 1.60
6 C 0.2363 0.6250 0.2500  2 N 1.60
7 C 0.8750 0.7637 0.7500  2 N 1.60
8 C 0.3750 0.4863 0.7500  2 N 1.60

Results
Its space-group type is No. 122. The value obtained for the magnetization is 0.000 μB per atom. The calculation puts the density at 3.81 Mg/m³. The calculation puts the total energy at -7.394 eV/atom. The crystal system is tetragonal.

2.
Here is a geometry-optimized Sc4CN2 structure from Alexandria via LeMat-Bulk. Energies are from PBE.

Cell lengths 3.2393, 5.5120, 10.8062 Å; angles 90.00, 90.00, 107.09 degrees
With the nearest neighbours (Å) after each atom.
Atoms (fractional coordinates):
1 N 0.8647 0.7294 0.9390  6 Sc 2.17-2.26
2 N 0.1353 0.2706 0.4390  6 Sc 2.17-2.26
3 N 0.8647 0.7294 0.5609  6 Sc 2.17-2.26
4 N 0.1353 0.2706 0.0610  6 Sc 2.17-2.26
5 Sc 0.7717 0.5433 0.1186  3 N 2.17-2.25
6 Sc 0.7717 0.5433 0.3814  3 N 2.17-2.25
7 Sc 0.5000 0.0000 0.5000  4 N 2.26
8 Sc 0.2283 0.4567 0.8814  3 N 2.17-2.25
9 Sc 0.9573 0.9146 0.7500  2 N 2.26, 2 C 2.28
10 Sc 0.2283 0.4567 0.6186  3 N 2.17-2.25
11 Sc 0.0427 0.0854 0.2500  2 N 2.26, 2 C 2.28
12 Sc 0.5000 0.0000 0.0000  4 N 2.26
13 C 0.3905 0.7811 0.2500  6 Sc 2.28-2.49
14 C 0.6095 0.2189 0.7500  6 Sc 2.28-2.49

Results
Its space-group type is No. 63. The value obtained for the magnetization is 0.083 μB per atom. The calculation puts the density at 3.96 Mg/m³. The calculation puts the total energy at -8.506 eV/atom. The crystal system is orthorhombic.

3.
Here is a geometry-optimized Sc8C3N2 structure from Alexandria via LeMat-Bulk. Energies are from PBE.

Cell lengths 5.6231, 6.5216, 6.3408 Å; angles 120.95, 90.26, 90.00 degrees
With the nearest neighbours (Å) after each atom.
Atoms (fractional coordinates):
1 C 0.5000 0.0000 0.0000  6 Sc 2.19-2.30
2 C 0.0000 0.2528 0.0000  6 Sc 2.25-2.36
3 C 0.0000 0.7472 0.0000  6 Sc 2.25-2.36
4 Sc 0.1719 0.3873 0.7746  1 N 2.23, 2 C 2.25
5 Sc 0.3359 0.3685 0.2602  2 N 2.25-2.33, 2 C 2.30-2.36
6 Sc 0.3359 0.8918 0.2602  2 N 2.25-2.33, 2 C 2.30-2.36
7 Sc 0.6641 0.6315 0.7398  2 N 2.25-2.33, 2 C 2.30-2.36
8 Sc 0.1753 0.8871 0.7742  3 C 2.19-2.28
9 Sc 0.8281 0.6127 0.2254  1 N 2.23, 2 C 2.25
10 Sc 0.6641 0.1082 0.7398  2 N 2.25-2.33, 2 C 2.30-2.36
11 Sc 0.8247 0.1129 0.2258  3 C 2.19-2.28
12 N 0.4934 0.2679 0.5358  5 Sc 2.23-2.33
13 N 0.5066 0.7321 0.4642  5 Sc 2.23-2.33

Results
Its space-group type is No. 12. The value obtained for the magnetization is 0.055 μB per atom. The calculation puts the density at 3.53 Mg/m³. The calculation puts the total energy at -8.070 eV/atom. The crystal system is monoclinic.

4.
Here is a geometry-optimized Sc12C5N structure from Alexandria via LeMat-Bulk. Energies are from PBE.

Cell lengths 5.7370, 5.7372, 11.2758 Å; angles 94.83, 99.70, 60.00 degrees
With the nearest neighbours (Å) after each atom.
Atoms (fractional coordinates):
1 Sc 0.2937 0.6697 0.8893  1 N 2.26, 2 C 2.28
2 Sc 0.8702 0.6673 0.6110  3 C 2.27-2.28
3 Sc 0.4626 0.6673 0.3890  3 C 2.27-2.28
4 Sc 0.5374 0.3328 0.6110  3 C 2.27-2.28
5 Sc 0.3670 0.0000 0.1107  1 N 2.26, 2 C 2.28
6 Sc 0.1298 0.3328 0.3890  3 C 2.27-2.28
7 Sc 0.2029 0.0000 0.6110  3 C 2.28
8 Sc 0.7063 0.3303 0.1107  1 N 2.26, 2 C 2.28
9 Sc 0.0366 0.6697 0.1107  1 N 2.26, 2 C 2.28
10 Sc 0.6330 0.0000 0.8893  1 N 2.26, 2 C 2.28
11 Sc 0.9634 0.3303 0.8893  1 N 2.26, 2 C 2.28
12 Sc 0.7971 0.0000 0.3890  3 C 2.28
13 C 0.6667 0.6666 0.0000  6 Sc 2.28
14 C 0.5000 0.0000 0.5000  6 Sc 2.27-2.28
15 C 0.3333 0.3334 0.0000  6 Sc 2.28
16 C 0.1667 0.6665 0.5000  6 Sc 2.27-2.28
17 C 0.8333 0.3335 0.5000  6 Sc 2.27-2.28
18 N 0.0000 0.0000 0.0000  6 Sc 2.26

Results
Its space-group type is No. 12. The value obtained for the magnetization is 0.096 μB per atom. The calculation puts the density at 3.22 Mg/m³. The calculation puts the total energy at -7.829 eV/atom. The crystal system is monoclinic.

5.
Here is a geometry-optimized Sc4CN structure from Alexandria via LeMat-Bulk. Energies are from PBE.

Cell lengths 3.2819, 5.6644, 11.0633 Å; angles 89.03, 90.00, 90.00 degrees
With the nearest neighbours (Å) after each atom.
Atoms (fractional coordinates):
1 Sc 0.0000 0.6687 0.8899  2 N 2.25, 1 C 2.25
2 Sc 0.5000 0.8284 0.1123  1 N 2.25, 2 C 2.27
3 Sc 0.5000 0.1687 0.3899  2 N 2.25, 1 C 2.25
4 Sc 0.0000 0.6716 0.3877  1 N 2.25, 2 C 2.27
5 Sc 0.0000 0.3284 0.6123  1 N 2.25, 2 C 2.27
6 Sc 0.5000 0.8313 0.6101  2 N 2.25, 1 C 2.25
7 Sc 0.0000 0.3313 0.1101  2 N 2.25, 1 C 2.25
8 Sc 0.5000 0.1716 0.8877  1 N 2.25, 2 C 2.27
9 C 0.5000 0.5000 0.5000  6 Sc 2.25-2.27
10 C 0.0000 0.0000 0.0000  6 Sc 2.25-2.27
11 N 0.0000 0.0000 0.5000  6 Sc 2.25
12 N 0.5000 0.5000 0.0000  6 Sc 2.25

Results
Its space-group type is No. 12. The value obtained for the magnetization is 0.149 μB per atom. The calculation puts the density at 3.32 Mg/m³. The calculation puts the total energy at -7.986 eV/atom. The crystal system is monoclinic.

6.
Here is a geometry-optimized Sc2CN structure from Alexandria via LeMat-Bulk. Energies are from PBE.

Cell lengths 5.7032, 5.7032, 5.2318 Å; angles 56.97, 56.97, 90.00 degrees
With the nearest neighbours (Å) after each atom.
Atoms (fractional coordinates):
1 N 0.7500 0.2500 0.5000  4 Sc 2.13
2 N 0.0000 0.0000 0.0000  4 Sc 2.13
3 Sc 0.6394 0.1250 0.2500  2 N 2.13, 2 C 2.24
4 Sc 0.1106 0.6250 0.2500  2 N 2.13, 2 C 2.24
5 Sc 0.3750 0.3606 0.7500  2 N 2.13, 2 C 2.24
6 Sc 0.8750 0.8894 0.7500  2 N 2.13, 2 C 2.24
7 C 0.5000 0.5000 0.0000  4 Sc 2.24
8 C 0.2500 0.7500 0.5000  4 Sc 2.24

Results
Its space-group type is No. 122. The value obtained for the magnetization is 0.131 μB per atom. The calculation puts the density at 3.55 Mg/m³. The calculation puts the total energy at -8.187 eV/atom. The crystal system is tetragonal.

7.
Here is a geometry-optimized Sc2C3N6 structure from Alexandria via LeMat-Bulk. Energies are from PBE.

Cell lengths 3.5393, 5.0924, 7.0924 Å; angles 96.00, 104.45, 90.00 degrees
With the nearest neighbours (Å) after each atom.
Atoms (fractional coordinates):
1 Sc 0.8668 0.9359 0.7336  7 N 2.19-2.41
2 Sc 0.1332 0.0641 0.2664  7 N 2.19-2.41
3 N 0.6916 0.8364 0.3831  1 C 1.25
4 N 0.0132 0.7429 0.0264  1 C 1.23
5 N 0.3455 0.6477 0.6910  1 C 1.21
6 N 0.3084 0.1636 0.6169  1 C 1.25
7 N 0.9868 0.2571 0.9736  1 C 1.23
8 N 0.6545 0.3523 0.3090  1 C 1.21
9 C 0.3287 0.4087 0.6574  2 N 1.21-1.25
10 C 0.0000 0.5000 0.0000  2 N 1.23
11 C 0.6713 0.5913 0.3426  2 N 1.21-1.25

Results
Its space-group type is No. 12. The value obtained for the magnetization is 0.000 μB per atom. The calculation puts the density at 2.83 Mg/m³. The calculation puts the total energy at -8.864 eV/atom. The crystal system is monoclinic.

8.
Here is a geometry-optimized Sc6CN2 structure from Alexandria via LeMat-Bulk. Energies are from PBE.

Cell lengths 3.2655, 6.5823, 7.3376 Å; angles 103.59, 102.86, 90.00 degrees
With the nearest neighbours (Å) after each atom.
Atoms (fractional coordinates):
1 C 0.5000 0.0000 0.0000  6 Sc 2.26
2 Sc 0.9951 0.7598 0.9902  2 C 2.26, 1 N 2.27
3 Sc 0.3373 0.9021 0.6746  2 N 2.25, 1 C 2.26
4 Sc 0.0049 0.2402 0.0098  2 C 2.26, 1 N 2.27
5 Sc 0.6627 0.0979 0.3254  2 N 2.25, 1 C 2.26
6 Sc 0.3280 0.4287 0.6559  3 N 2.22-2.24
7 Sc 0.6720 0.5713 0.3441  3 N 2.22-2.24
8 N 0.1684 0.3365 0.3368  6 Sc 2.22-2.27
9 N 0.8316 0.6635 0.6632  6 Sc 2.22-2.27

Results
Its space-group type is No. 12. The value obtained for the magnetization is 0.000 μB per atom. The calculation puts the density at 3.45 Mg/m³. The calculation puts the total energy at -8.114 eV/atom. The crystal system is monoclinic.

9.
Here is a geometry-optimized Sc2CN structure from Alexandria via LeMat-Bulk. Energies are from PBE.

Cell lengths 6.7170, 6.7170, 6.7170 Å; angles 29.98, 29.98, 29.98 degrees
With the nearest neighbours (Å) after each atom.
Atoms (fractional coordinates):
1 Sc 0.8955 0.8955 0.8955  1 N 2.01
2 Sc 0.1045 0.1045 0.1045  1 N 2.01
3 C 0.5000 0.5000 0.5000  6 Sc 2.34
4 N 0.0000 0.0000 0.0000  2 Sc 2.01

Results
Its space-group type is No. 166. The value obtained for the magnetization is 0.250 μB per atom. The calculation puts the density at 2.87 Mg/m³. The calculation puts the total energy at -7.701 eV/atom. The crystal system is trigonal.

10.
Here is a geometry-optimized Sc4CSe2N structure from Alexandria via LeMat-Bulk. Energies are from PBE.

Cell lengths 3.4762, 6.0184, 6.4302 Å; angles 108.18, 90.00, 90.00 degrees
With the nearest neighbours (Å) after each atom.
Atoms (fractional coordinates):
1 Se 0.0000 0.5000 0.5000  6 Sc 2.72-2.74
2 Se 0.5000 0.0000 0.5000  6 Sc 2.73-2.75
3 Sc 0.5000 0.2329 0.1946  1 C 2.32, 2 N 2.34
4 Sc 0.0000 0.2686 0.8025  2 C 2.34, 1 N 2.35
5 Sc 0.0000 0.7314 0.1975  2 C 2.34, 1 N 2.35
6 Sc 0.5000 0.7671 0.8054  1 C 2.32, 2 N 2.34
7 N 0.0000 0.0000 0.0000  6 Sc 2.34-2.35
8 C 0.5000 0.5000 0.0000  6 Sc 2.32-2.34

Results
Its space-group type is No. 10. The value obtained for the magnetization is 0.000 μB per atom. The calculation puts the density at 4.73 Mg/m³. The calculation puts the total energy at -7.676 eV/atom. The crystal system is monoclinic.

11.
Here is a geometry-optimized Sc8C3Se3N structure from Alexandria via LeMat-Bulk. Energies are from PBE.

Cell lengths 6.8903, 6.8941, 7.3126 Å; angles 118.14, 90.00, 119.99 degrees
With the nearest neighbours (Å) after each atom.
Atoms (fractional coordinates):
1 Sc 0.2689 0.0366 0.3043  2 C 2.32, 1 N 2.33
2 Sc 0.7677 0.0366 0.3044  2 C 2.32, 1 N 2.33
3 Sc 0.2323 0.4647 0.6958  2 C 2.32, 1 N 2.33
4 Sc 0.2323 0.9634 0.6956  2 C 2.32, 1 N 2.33
5 Sc 0.2679 0.5359 0.3040  3 C 2.32-2.33
6 Sc 0.7311 0.9634 0.6957  2 C 2.32, 1 N 2.33
7 Sc 0.7321 0.4641 0.6960  3 C 2.32-2.33
8 Sc 0.7677 0.5353 0.3042  2 C 2.32, 1 N 2.33
9 Se 0.0000 0.5000 0.0000  6 Sc 2.73
10 Se 0.5000 0.5000 0.0000  6 Sc 2.73
11 Se 0.0000 0.0000 0.0000  6 Sc 2.73
12 N 0.0000 0.0000 0.5000  6 Sc 2.33
13 C 0.0000 0.5000 0.5000  6 Sc 2.32
14 C 0.5000 0.5000 0.5000  6 Sc 2.32
15 C 0.5000 0.0000 0.5000  6 Sc 2.32-2.33

Results
Its space-group type is No. 166. The value obtained for the magnetization is 0.019 μB per atom. The calculation puts the density at 4.26 Mg/m³. The calculation puts the total energy at -7.652 eV/atom. The crystal system is trigonal.

Question: Look up the magnetization of the tenth one.
Answer: 0.000 μB per atom

Please write out number 9 again, unchanged.
Here is a geometry-optimized Sc2CN structure from Alexandria via LeMat-Bulk. Energies are from PBE.

Cell lengths 6.7170, 6.7170, 6.7170 Å; angles 29.98, 29.98, 29.98 degrees
With the nearest neighbours (Å) after each atom.
Atoms (fractional coordinates):
1 Sc 0.8955 0.8955 0.8955  1 N 2.01
2 Sc 0.1045 0.1045 0.1045  1 N 2.01
3 C 0.5000 0.5000 0.5000  6 Sc 2.34
4 N 0.0000 0.0000 0.0000  2 Sc 2.01

Results
Its space-group type is No. 166. The value obtained for the magnetization is 0.250 μB per atom. The calculation puts the density at 2.87 Mg/m³. The calculation puts the total energy at -7.701 eV/atom. The crystal system is trigonal.

Repeat the fourth record exactly.
Here is a geometry-optimized Sc12C5N structure from Alexandria via LeMat-Bulk. Energies are from PBE.

Cell lengths 5.7370, 5.7372, 11.2758 Å; angles 94.83, 99.70, 60.00 degrees
With the nearest neighbours (Å) after each atom.
Atoms (fractional coordinates):
1 Sc 0.2937 0.6697 0.8893  1 N 2.26, 2 C 2.28
2 Sc 0.8702 0.6673 0.6110  3 C 2.27-2.28
3 Sc 0.4626 0.6673 0.3890  3 C 2.27-2.28
4 Sc 0.5374 0.3328 0.6110  3 C 2.27-2.28
5 Sc 0.3670 0.0000 0.1107  1 N 2.26, 2 C 2.28
6 Sc 0.1298 0.3328 0.3890  3 C 2.27-2.28
7 Sc 0.2029 0.0000 0.6110  3 C 2.28
8 Sc 0.7063 0.3303 0.1107  1 N 2.26, 2 C 2.28
9 Sc 0.0366 0.6697 0.1107  1 N 2.26, 2 C 2.28
10 Sc 0.6330 0.0000 0.8893  1 N 2.26, 2 C 2.28
11 Sc 0.9634 0.3303 0.8893  1 N 2.26, 2 C 2.28
12 Sc 0.7971 0.0000 0.3890  3 C 2.28
13 C 0.6667 0.6666 0.0000  6 Sc 2.28
14 C 0.5000 0.0000 0.5000  6 Sc 2.27-2.28
15 C 0.3333 0.3334 0.0000  6 Sc 2.28
16 C 0.1667 0.6665 0.5000  6 Sc 2.27-2.28
17 C 0.8333 0.3335 0.5000  6 Sc 2.27-2.28
18 N 0.0000 0.0000 0.0000  6 Sc 2.26

Results
Its space-group type is No. 12. The value obtained for the magnetization is 0.096 μB per atom. The calculation puts the density at 3.22 Mg/m³. The calculation puts the total energy at -7.829 eV/atom. The crystal system is monoclinic.